[1]
Material: BC2
Method: DFT, PBE
State: optimized geometry

Unit cell a=3.860 b=2.538 c=7.882 alpha=90.00 beta=90.45 gamma=90.00
Space group Pm (No. 6)
Asymmetric unit:
B: 0.000 0.000 0.000
B: 0.026 0.000 0.708
B: 0.268 0.000 0.240
B: 0.564 0.500 0.203
C: 0.006 0.000 0.389
C: 0.282 0.000 0.540
C: 0.298 0.000 0.872
C: 0.518 0.500 0.544
C: 0.524 0.500 0.868
C: 0.744 0.500 0.705
C: 0.771 0.500 0.030
C: 0.779 0.500 0.388

Output
**E_form**: 0.346 eV per atom
**Excess energy over the best structure of this formula in the dataset**: 0.106 eV per atom
**Calculated volume**: 6.4 Å³ per atom
**Energy**: -8.0296 eV/atom
**DOS at the Fermi energy**: 0.157 states/eV/atom

***

[2]
Material: Li4In3Ag2
Method: DFT, PBE
State: optimized geometry

Unit cell a=9.865 b=4.712 c=8.656 alpha=90.00 beta=124.09 gamma=90.00
Space group C2/m (No. 12)
Asymmetric unit:
Li: 0.062 0.000 0.391
Li: 0.212 0.500 0.051
In: 0.000 0.000 0.000
In: 0.165 0.500 0.671
Ag: 0.115 0.500 0.281

Output
**E_form**: -0.228 eV per atom
**Excess energy over the best structure of this formula in the dataset**: 0.008 eV per atom
**Calculated volume**: 18.5 Å³ per atom
**Energy**: -2.6249 eV/atom
**DOS at the Fermi energy**: 0.298 states/eV/atom

***

[3]
Material: YThBi
Method: DFT, PBE
State: optimized geometry

Unit cell a=5.4706 b=5.4706 c=3.6951 alpha=90.00 beta=90.00 gamma=120.00
Space group P3m1 (No. 156)
Asymmetric unit:
Y: 0.0000 0.0000 0.0000
Th: 0.3333 0.6667 0.4883
Bi: 0.6667 0.3333 0.7987

Output
**E_form**: -0.128 eV per atom
**Calculated volume**: 31.9 Å³ per atom
**Energy**: -6.0495 eV/atom
**DOS at the Fermi energy**: 1.358 states/eV/atom

***

[4]
Material: Tb3Pr3Sc
Method: DFT, PBE
State: optimized geometry

Unit cell a=9.6330 b=9.6330 c=5.7391 alpha=90.00 beta=90.00 gamma=120.00
Space group P6_3/m (No. 176)
Asymmetric unit:
Tb: 0.0499 0.2384 0.2500
Pr: 0.0969 0.4773 0.7500
Sc: 0.3333 0.6667 0.2500

Output
**E_form**: 0.041 eV per atom
**Excess energy over the best structure of this formula in the dataset**: 0.000 eV per atom
**Calculated volume**: 32.9 Å³ per atom
**Energy**: -4.8961 eV/atom
**DOS at the Fermi energy**: 1.933 states/eV/atom

***

[5]
Material: CsTl2CdPd
Method: DFT, PBE
State: optimized geometry

Unit cell a=5.485 b=5.485 c=5.485 alpha=90.00 beta=90.00 gamma=90.00
Space group P4/mmm (No. 123)
Asymmetric unit:
Cs: 0.000 0.000 0.000
Tl: 0.000 0.500 0.500
Cd: 0.500 0.500 0.000
Pd: 0.500 0.500 0.500

Output
**E_form**: -0.120 eV per atom
**Calculated volume**: 33.0 Å³ per atom
**Energy**: -2.4593 eV/atom
**DOS at the Fermi energy**: 0.781 states/eV/atom

***

[6]
Material: ZnCd2Co
Method: DFT, PBE
State: optimized geometry

Unit cell a=3.937 b=3.937 c=8.589 alpha=90.00 beta=90.00 gamma=90.00
Space group I-4m2 (No. 119)
Asymmetric unit:
Zn: 0.000 0.000 0.000
Cd: 0.000 0.000 0.500
Cd: 0.000 0.500 0.750
Co: 0.000 0.500 0.250

Output
**E_form**: 0.220 eV per atom
**Calculated volume**: 16.6 Å³ per atom
**Energy**: -2.3321 eV/atom
**DOS at the Fermi energy**: 0.519 states/eV/atom